KNaEu after structural relaxation. Source: Alexandria, functional GGA-PBE.

Properties
For the formation energy, the calculation gives 0.3 eV per formula unit. As for the volume: 49.26 A^3/atom. As for the space group: No. 156. As for the distance to the lowest polymorph of the same formula: 0.0 kJ per mole of atoms.

Cell and atoms, written as POSCAR:
```
KNaEu
1.0
4.060 0.000 0.000
-2.030 3.516 0.000
0.000 0.000 10.352
K Na Eu
1 1 1
Cartesian
0.000 0.000 0.000
0.000 2.344 6.832
2.030 1.172 3.718
```